(1)
Computed, not measured: a relaxed TbMgIn2 crystal at the PBE-GGA level of DFT.

Computed properties:
M_tot	0.000	μB per atom
space-group type	No. 123
formation energy	-0.29	eV/atom

Lattice parameters (Å, degrees): 3.587 3.587 7.702 90.00 90.00 90.00
Positions (direct):
Mg: 0.500 0.500 0.000
Tb: 0.500 0.500 0.500
In: 0.000 0.000 0.229
In: 0.000 0.000 0.771

(2)
Computed, not measured: a relaxed TbMgIn4 crystal at the PBE-GGA level of DFT.

Computed properties:
M_tot	0.000	μB per atom
space-group type	No. 216
formation energy	-0.08	eV/atom

Lattice parameters (Å, degrees): 6.037 6.037 6.037 60.00 60.00 60.00
Positions (direct):
In: 0.625 0.625 0.125
In: 0.625 0.625 0.625
In: 0.125 0.625 0.625
In: 0.625 0.125 0.625
Mg: 0.250 0.250 0.250
Tb: 0.000 0.000 0.000

(3)
Computed, not measured: a relaxed Tb5Mg2In crystal at the PBE-GGA level of DFT.

Computed properties:
M_tot	0.004	μB per atom
space-group type	No. 140
formation energy	-0.07	eV/atom

Lattice parameters (Å, degrees): 8.507 8.507 8.802 118.90 118.90 90.00
Positions (direct):
Tb: 0.311 0.811 0.315
Tb: 0.189 0.996 0.685
Tb: 0.000 0.000 0.000
Tb: 0.004 0.504 0.315
Tb: 0.811 0.004 0.315
Tb: 0.996 0.496 0.685
Tb: 0.689 0.189 0.685
Tb: 0.496 0.689 0.685
Tb: 0.500 0.500 0.000
Tb: 0.504 0.311 0.315
In: 0.250 0.250 0.500
In: 0.750 0.750 0.500
Mg: 0.639 0.139 0.000
Mg: 0.139 0.361 0.000
Mg: 0.361 0.861 0.000
Mg: 0.861 0.639 0.000

(4)
Computed, not measured: a relaxed Tb4Mg3In2 crystal at the PBE-GGA level of DFT.

Computed properties:
M_tot	0.000	μB per atom
space-group type	No. 164
formation energy	-0.25	eV/atom

Lattice parameters (Å, degrees): 5.284 5.284 10.093 90.01 90.00 59.99
Positions (direct):
Tb: 0.000 0.000 0.674
Tb: 0.000 0.000 0.326
Tb: 0.667 0.667 0.879
Tb: 0.333 0.333 0.121
In: 0.333 0.333 0.799
In: 0.667 0.667 0.201
Mg: 0.000 0.000 0.000
Mg: 0.333 0.333 0.488
Mg: 0.667 0.667 0.512

(5)
Computed, not measured: a relaxed Tb4MgIn2 crystal at the PBE-GGA level of DFT.

Computed properties:
M_tot	0.000	μB per atom
space-group type	No. 11
formation energy	-0.13	eV/atom

Lattice parameters (Å, degrees): 7.560 6.437 9.311 90.00 116.38 90.00
Positions (direct):
Tb: 0.035 0.750 0.448
Tb: 0.576 0.004 0.219
Tb: 0.018 0.750 0.823
Tb: 0.965 0.250 0.552
Tb: 0.982 0.250 0.177
Tb: 0.576 0.496 0.219
Tb: 0.424 0.504 0.781
Tb: 0.424 0.996 0.781
Mg: 0.219 0.750 0.204
Mg: 0.781 0.250 0.796
In: 0.585 0.750 0.534
In: 0.797 0.750 0.051
In: 0.415 0.250 0.466
In: 0.203 0.250 0.949

(6)
Computed, not measured: a relaxed Tb3MgIn crystal at the PBE-GGA level of DFT.

Computed properties:
M_tot	0.000	μB per atom
space-group type	No. 194
formation energy	0.05	eV/atom

Lattice parameters (Å, degrees): 5.103 8.319 8.319 119.99 90.00 90.00
Positions (direct):
Tb: 0.250 0.393 0.196
Tb: 0.750 0.607 0.804
Tb: 0.750 0.196 0.393
Tb: 0.250 0.804 0.196
Tb: 0.750 0.196 0.804
Tb: 0.250 0.804 0.607
Mg: 0.000 0.000 0.000
Mg: 0.500 0.000 0.000
In: 0.750 0.667 0.333
In: 0.250 0.333 0.667

(7)
Computed, not measured: a relaxed Tb5MgIn3 crystal at the PBE-GGA level of DFT.

Computed properties:
M_tot	0.000	μB per atom
space-group type	No. 193
formation energy	-0.37	eV/atom

Lattice parameters (Å, degrees): 6.633 9.338 9.338 120.00 90.00 90.00
Positions (direct):
Tb: 0.000 0.667 0.333
Tb: 0.000 0.333 0.667
Tb: 0.500 0.333 0.667
Tb: 0.250 0.694 0.000
Tb: 0.250 0.306 0.306
Tb: 0.500 0.667 0.333
Tb: 0.750 0.000 0.306
Tb: 0.750 0.306 0.000
Tb: 0.250 0.000 0.694
Tb: 0.750 0.694 0.694
In: 0.250 0.643 0.643
In: 0.750 0.000 0.643
In: 0.250 0.000 0.357
In: 0.250 0.357 0.000
In: 0.750 0.357 0.357
In: 0.750 0.643 0.000
Mg: 0.000 0.000 0.000
Mg: 0.500 0.000 0.000

(8)
Computed, not measured: a relaxed Tb12MgIn3 crystal at the PBE-GGA level of DFT.

Computed properties:
M_tot	0.069	μB per atom
space-group type	No. 123
formation energy	-0.19	eV/atom

Lattice parameters (Å, degrees): 4.874 4.874 19.518 90.00 90.00 90.00
Each line ends with the local moment (μB).
Positions (direct):
In: 0.000 0.000 0.748  0.00
In: 0.000 0.000 0.500  -0.01
In: 0.000 0.000 0.252  0.00
Tb: 0.500 0.500 0.000  0.04
Tb: 0.500 0.000 0.624  0.08
Tb: 0.000 0.500 0.376  0.08
Tb: 0.500 0.500 0.500  0.08
Tb: 0.500 0.000 0.376  0.08
Tb: 0.500 0.000 0.873  0.07
Tb: 0.500 0.500 0.750  0.06
Tb: 0.500 0.000 0.127  0.07
Tb: 0.500 0.500 0.250  0.06
Tb: 0.000 0.500 0.127  0.07
Tb: 0.000 0.500 0.873  0.07
Tb: 0.000 0.500 0.624  0.08
Mg: 0.000 0.000 0.000  0.00

(9)
Computed, not measured: a relaxed Tb3MgIn crystal at the PBE-GGA level of DFT.

Computed properties:
M_tot	0.038	μB per atom
space-group type	No. 63
formation energy	-0.24	eV/atom

Lattice parameters (Å, degrees): 5.113 5.111 11.111 90.00 76.70 90.00
Each line ends with the local moment (μB).
Positions (direct):
Tb: 0.883 0.750 0.883  0.01
Tb: 0.268 0.750 0.113  0.01
Tb: 0.574 0.250 0.501  0.10
Tb: 0.766 0.250 0.117  0.01
Tb: 0.074 0.750 0.499  0.10
Tb: 0.381 0.250 0.887  0.01
In: 0.668 0.750 0.312  0.00
In: 0.980 0.250 0.688  0.00
Mg: 0.171 0.250 0.307  0.00
Mg: 0.478 0.750 0.693  0.00

(10)
Computed, not measured: a relaxed Tb3Mg2In4 crystal at the PBE-GGA level of DFT.

Computed properties:
M_tot	0.000	μB per atom
space-group type	No. 12
formation energy	-0.39	eV/atom

Lattice parameters (Å, degrees): 4.941 6.129 9.339 115.29 90.00 113.77
Positions (direct):
In: 0.287 0.573 0.946
In: 0.939 0.878 0.610
In: 0.061 0.122 0.390
In: 0.713 0.427 0.054
Mg: 0.385 0.770 0.716
Mg: 0.615 0.230 0.284
Tb: 0.664 0.327 0.668
Tb: 0.000 0.000 0.000
Tb: 0.336 0.673 0.332

(11)
Computed, not measured: a relaxed TbMgIn crystal at the PBE-GGA level of DFT.

Computed properties:
M_tot	0.000	μB per atom
space-group type	No. 187
formation energy	-0.34	eV/atom

Lattice parameters (Å, degrees): 3.608 4.960 4.960 120.00 90.00 90.00
Positions (direct):
Tb: 0.667 0.667 0.333
In: 0.166 0.333 0.667
Mg: 0.167 0.000 0.000

(12)
Computed, not measured: a relaxed TbMgIn2 crystal at the PBE-GGA level of DFT.

Computed properties:
M_tot	0.000	μB per atom
space-group type	No. 123
formation energy	-0.41	eV/atom

Lattice parameters (Å, degrees): 4.523 4.638 4.638 90.00 90.00 90.00
Positions (direct):
In: 0.000 0.000 0.500
In: 0.000 0.500 0.000
Mg: 0.500 0.000 0.000
Tb: 0.500 0.500 0.500